Material: LaCr2Hg
Method: DFT, PBE
State: optimized geometry

Lattice parameters (Å, degrees): 4.5640 4.5541 4.1622 90.00 90.00 90.00
Sites, in units of the cell vectors:
Cr: 0.0000 0.0000 0.0000
Cr: 0.5000 0.5000 0.0000
La: 0.0000 0.5000 0.5000
Hg: 0.5000 0.0000 0.5000

Summary:
Its space-group type is P4/mmm, No. 123. Its density of states at the Fermi level is 3.2 states/eV/f.u. The value obtained for the formation energy from the elements is 0.50 eV/atom. The calculation puts the volume at 21.6 A^3/atom.